(i)
VASP calculation (PBE) on an optimized crystal structure of HPdS2.

Geometry as POSCAR:
```
HPdS2
1.0
0.000 2.976 2.976
2.976 0.000 2.976
2.976 2.976 0.000
Pd S H
1 2 1
Cartesian
2.976 2.976 2.976 Pd
1.488 1.488 1.488 S
4.464 4.464 4.464 S
0.000 0.000 0.000 H
```

The calculated volume is 13.18 A^3/atom. The space-group type is No. 225. For the density of states at the Fermi level, the calculation gives 3.43 states/eV per atom.

(ii)
VASP calculation (PBE) on an optimized crystal structure of HPdS2.

Geometry as POSCAR:
```
HPdS2
1.0
2.150 0.000 5.658
-1.075 1.862 5.658
-1.075 -1.862 5.658
Pd H S
1 1 2
Cartesian
0.000 0.000 8.487 Pd
0.000 0.000 0.000 H
0.000 0.000 1.638 S
0.000 0.000 15.335 S
```

The calculated volume is 16.99 A^3/atom. The space-group type is No. 166. For the density of states at the Fermi level, the calculation gives 0.79 states/eV per atom.

How do the energies compare? Relative to the most stable structure, in meV per atom: (i) 800; (ii) 0.

(i)
VASP calculation (PBE) on an optimized crystal structure of HPdS3.

Geometry as POSCAR:
```
HPdS3
1.0
-2.346 -2.960 -1.503
3.177 -2.536 0.036
-0.964 -1.154 3.777
S Pd H
3 1 1
Cartesian
1.588 -1.268 0.018 S
-0.482 -0.577 1.888 S
-1.173 -1.480 -0.752 S
-0.067 -3.325 1.155 Pd
0.000 0.000 0.000 H
```

The calculated volume is 13.44 A^3/atom. The space-group type is No. 221. For the density of states at the Fermi level, the calculation gives 0.95 states/eV per atom.

(ii)
VASP calculation (PBE) on an optimized crystal structure of HPdS3.

Geometry as POSCAR:
```
HPdS3
1.0
-3.126 2.161 -2.865
1.604 -2.558 -3.679
-3.210 -3.382 0.952
H Pd S
1 1 3
Cartesian
-2.366 -1.890 -2.796 H
0.000 0.000 0.000 Pd
0.802 -1.279 -1.839 S
-1.605 -1.691 0.476 S
-1.563 1.080 -1.432 S
```

The calculated volume is 21.56 A^3/atom. The space-group type is No. 221. For the density of states at the Fermi level, the calculation gives 1.03 states/eV per atom.

How do the energies compare? Relative to the most stable structure, in meV per atom: (i) 0; (ii) 151.

(i)
VASP calculation (PBE) on an optimized crystal structure of SbHPd2.

Geometry as POSCAR:
```
SbHPd2
1.0
-4.364 0.648 -0.284
-2.781 -3.386 0.591
-2.545 0.040 4.788
H Sb Pd
1 1 2
Cartesian
0.000 0.000 0.000 H
-4.845 -1.349 2.548 Sb
-2.487 -0.297 3.130 Pd
-7.203 -2.401 1.966 Pd
```

The calculated volume is 20.25 A^3/atom. The space-group type is No. 166. For the density of states at the Fermi level, the calculation gives 0.37 states/eV per atom.

(ii)
VASP calculation (PBE) on an optimized crystal structure of SbHPd2.

Geometry as POSCAR:
```
SbHPd2
1.0
3.431 -0.002 -0.880
-0.229 3.426 -0.881
-0.518 -0.554 5.115
Sb H Pd
1 1 2
Cartesian
0.439 2.893 0.196 Sb
1.091 1.762 2.754 H
1.401 0.245 3.926 Pd
2.624 1.553 1.583 Pd
```

The calculated volume is 14.19 A^3/atom. The space-group type is No. 5. For the density of states at the Fermi level, the calculation gives 0.23 states/eV per atom.

How do the energies compare? Relative to the most stable structure, in meV per atom: (i) 144; (ii) 0.

(i)
VASP calculation (PBE) on an optimized crystal structure of SbHPd2.

Geometry as POSCAR:
```
SbHPd2
1.0
0.000 3.122 3.122
3.122 0.000 3.122
3.122 3.122 0.000
H Sb Pd
1 1 2
Cartesian
0.000 0.000 0.000 H
3.122 3.122 3.122 Sb
1.561 1.561 1.561 Pd
4.683 4.683 4.683 Pd
```

The calculated volume is 15.21 A^3/atom. The space-group type is No. 225. For the density of states at the Fermi level, the calculation gives 0.56 states/eV per atom.

(ii)
VASP calculation (PBE) on an optimized crystal structure of SbHPd2.

Geometry as POSCAR:
```
SbHPd2
1.0
3.691 0.000 0.000
0.000 6.242 0.000
0.000 0.000 10.389
Pd H Sb
8 4 4
Cartesian
2.768 4.314 10.133 Pd
0.923 1.928 0.256 Pd
2.768 1.193 5.450 Pd
2.768 1.981 8.322 Pd
0.923 1.140 3.127 Pd
0.923 4.261 2.067 Pd
2.768 5.102 7.262 Pd
0.923 5.049 4.938 Pd
0.923 3.807 0.304 H
0.923 0.686 4.890 H
2.768 5.556 5.499 H
2.768 2.435 10.085 H
0.923 2.957 6.675 Sb
0.923 6.078 8.908 Sb
2.768 0.164 1.481 Sb
2.768 3.285 3.714 Sb
```

The calculated volume is 14.96 A^3/atom. The space-group type is No. 62. For the density of states at the Fermi level, the calculation gives 0.32 states/eV per atom.

(iii)
VASP calculation (PBE) on an optimized crystal structure of SbHPd2.

Geometry as POSCAR:
```
SbHPd2
1.0
5.310 0.000 0.000
0.000 5.310 0.000
2.655 2.655 4.396
H Sb Pd
2 2 4
Cartesian
2.655 2.655 0.000 H
2.655 5.310 2.198 H
0.000 0.000 0.000 Sb
5.310 2.655 2.198 Sb
6.638 5.932 3.297 Pd
2.033 3.983 1.099 Pd
3.277 1.328 1.099 Pd
3.983 4.689 3.297 Pd
```

The calculated volume is 15.49 A^3/atom. The space-group type is No. 122. For the density of states at the Fermi level, the calculation gives 0.32 states/eV per atom.

How do the energies compare? Relative to the most stable structure, in meV per atom: (i) 428; (ii) 0; (iii) 40.

(i)
VASP calculation (PBE) on an optimized crystal structure of SbH2Pd2.

Geometry as POSCAR:
```
SbH2Pd2
1.0
7.029 0.000 0.000
0.000 7.029 0.000
0.000 0.000 2.898
H Pd Sb
4 4 2
Cartesian
3.851 6.693 1.449 H
0.336 3.851 1.449 H
6.693 3.178 1.449 H
3.178 0.336 1.449 H
0.995 2.520 0.000 Pd
4.509 0.995 0.000 Pd
2.520 6.035 0.000 Pd
6.035 4.509 0.000 Pd
0.000 0.000 0.000 Sb
3.515 3.515 0.000 Sb
```

The calculated volume is 14.32 A^3/atom. The space-group type is No. 127. For the density of states at the Fermi level, the calculation gives 0.16 states/eV per atom.

(ii)
VASP calculation (PBE) on an optimized crystal structure of SbH2Pd2.

Geometry as POSCAR:
```
SbH2Pd2
1.0
3.236 0.000 0.000
0.000 3.236 0.000
1.618 1.618 5.932
H Sb Pd
2 1 2
Cartesian
3.236 1.618 2.966 H
1.618 3.236 2.966 H
0.000 0.000 0.000 Sb
1.618 1.618 1.949 Pd
3.236 3.236 3.983 Pd
```

The calculated volume is 12.42 A^3/atom. The space-group type is No. 139. For the density of states at the Fermi level, the calculation gives 0.32 states/eV per atom.

How do the energies compare? Relative to the most stable structure, in meV per atom: (i) 260; (ii) 0.

(i)
VASP calculation (PBE) on an optimized crystal structure of SbH2Pd4.

Geometry as POSCAR:
```
SbH2Pd4
1.0
5.418 -0.364 0.095
-0.753 5.378 -0.095
-2.110 -2.714 6.469
H Pd Sb
4 8 2
Cartesian
1.670 -0.439 5.312 H
2.360 0.757 2.578 H
3.893 -0.670 3.986 H
1.996 3.934 1.157 H
2.840 0.917 4.443 Pd
4.018 -0.179 2.121 Pd
-0.102 -0.780 4.946 Pd
1.784 2.142 1.523 Pd
0.019 1.885 5.899 Pd
1.256 -0.650 2.192 Pd
2.569 -1.872 4.373 Pd
4.434 2.455 0.570 Pd
-1.788 -2.368 6.469 Sb
-0.407 2.434 3.187 Sb
```

The calculated volume is 13.32 A^3/atom. The space-group type is No. 5. For the density of states at the Fermi level, the calculation gives 0.20 states/eV per atom.

(ii)
VASP calculation (PBE) on an optimized crystal structure of SbH2Pd4.

Geometry as POSCAR:
```
SbH2Pd4
1.0
4.619 0.812 -1.804
-2.115 4.651 -2.190
0.416 0.128 7.788
Pd H Sb
8 4 2
Cartesian
2.081 3.744 -2.009 Pd
1.500 0.496 1.627 Pd
3.636 2.330 0.836 Pd
1.439 3.230 2.992 Pd
-0.320 3.022 5.268 Pd
0.546 2.698 0.208 Pd
3.492 1.009 3.537 Pd
1.749 1.027 5.929 Pd
2.016 1.770 0.405 H
3.165 2.636 2.627 H
0.370 3.794 -1.295 H
1.446 2.637 4.741 H
4.410 1.145 6.033 Sb
-1.083 4.054 1.840 Sb
```

The calculated volume is 13.23 A^3/atom. The space-group type is No. 1. For the density of states at the Fermi level, the calculation gives 0.36 states/eV per atom.

How do the energies compare? Relative to the most stable structure, in meV per atom: (i) 28; (ii) 0.

(i)
VASP calculation (PBE) on an optimized crystal structure of SbH2Pd.

Geometry as POSCAR:
```
SbH2Pd
1.0
-3.267 3.716 -0.236
-3.705 -3.275 -0.279
-3.801 0.214 4.004
Pd H Sb
2 4 2
Cartesian
-3.486 0.220 -0.258 Pd
-5.496 -1.421 1.733 Pd
-5.969 -0.120 2.771 H
-8.447 0.991 2.590 H
-4.119 -1.024 0.765 H
-3.011 1.461 0.851 H
-5.277 2.075 1.755 Sb
0.000 0.000 0.000 Sb
```

The calculated volume is 13.10 A^3/atom. The space-group type is No. 122. For the density of states at the Fermi level, the calculation gives 0.38 states/eV per atom.

(ii)
VASP calculation (PBE) on an optimized crystal structure of SbH2Pd.

Geometry as POSCAR:
```
SbH2Pd
1.0
-1.825 -3.411 1.259
-3.791 0.144 1.469
-3.075 -1.574 -2.148
Sb H Pd
1 2 1
Cartesian
-4.345 -2.420 0.290 Sb
-6.518 -3.630 0.434 H
-2.173 -1.210 0.145 H
0.000 0.000 0.000 Pd
```

The calculated volume is 11.90 A^3/atom. The space-group type is No. 225. For the density of states at the Fermi level, the calculation gives 0.20 states/eV per atom.

How do the energies compare? Relative to the most stable structure, in meV per atom: (i) 0; (ii) 372.

(i)
VASP calculation (PBE) on an optimized crystal structure of Sb2HPd8.

Geometry as POSCAR:
```
Sb2HPd8
1.0
4.433 0.000 0.000
0.000 5.707 -0.597
-2.217 -3.165 7.203
Pd H Sb
8 1 2
Cartesian
0.000 4.391 -0.153 Pd
2.217 -1.849 6.759 Pd
2.217 4.261 1.686 Pd
2.217 1.192 1.182 Pd
0.000 0.284 2.841 Pd
0.000 -1.719 4.921 Pd
0.000 1.351 5.424 Pd
2.217 2.258 3.766 Pd
2.217 0.000 0.000 H
2.217 -0.182 4.707 Sb
0.000 2.725 1.899 Sb
```

The calculated volume is 15.81 A^3/atom. The space-group type is No. 12. For the density of states at the Fermi level, the calculation gives 0.43 states/eV per atom.

(ii)
VASP calculation (PBE) on an optimized crystal structure of Sb2HPd8.

Geometry as POSCAR:
```
Sb2HPd8
1.0
-0.743 -4.092 -0.629
1.482 -1.091 5.388
-7.081 3.499 -0.350
Pd Sb H
8 2 1
Cartesian
-0.294 -0.589 4.384 Pd
-1.033 -0.044 1.690 Pd
-3.286 0.034 3.830 Pd
0.350 -2.561 2.303 Pd
-6.085 -1.012 -0.126 Pd
-5.987 0.411 4.649 Pd
-3.093 -1.643 0.427 Pd
-5.343 -1.557 2.566 Pd
-2.128 -2.216 3.051 Sb
-4.251 0.612 1.202 Sb
1.416 -1.293 5.260 H
```

The calculated volume is 15.39 A^3/atom. The space-group type is No. 8. For the density of states at the Fermi level, the calculation gives 0.64 states/eV per atom.

How do the energies compare? Relative to the most stable structure, in meV per atom: (i) 13; (ii) 0.